[1]
First-principles (PBE-GGA) data for a relaxed structure of Dy2HfP3Rh12, as listed in Alexandria via LeMat-Bulk.

The structure in POSCAR format:
```
Dy2HfP3Rh12
1.0
4.430 2.558 4.298
-4.430 2.558 4.298
0.000 -5.115 4.298
Dy Hf P Rh
2 1 3 12
direct
0.126 0.126 0.126
0.874 0.874 0.874
0.500 0.500 0.500
0.000 0.500 0.500
0.500 0.000 0.500
0.500 0.500 0.000
0.133 0.133 0.589
0.133 0.589 0.133
0.167 0.677 0.677
0.323 0.323 0.833
0.323 0.833 0.323
0.411 0.867 0.867
0.589 0.133 0.133
0.677 0.167 0.677
0.677 0.677 0.167
0.833 0.323 0.323
0.867 0.411 0.867
0.867 0.867 0.411
```

Properties
E_form ... -678 kJ/mol of formula units
DFT total energy ... -7.258 eV per atom
Symmetry ... R-3m, No. 166

[2]
First-principles (PBE-GGA) data for a relaxed structure of DyHfP2Rh5, as listed in Alexandria via LeMat-Bulk.

The structure in POSCAR format:
```
DyHfP2Rh5
1.0
4.024 0.000 0.000
0.000 4.024 0.000
0.000 0.000 10.298
Dy Hf P Rh
1 1 2 5
direct
0.000 0.000 0.000
0.000 0.000 0.500
0.500 0.500 0.219
0.500 0.500 0.781
0.000 0.500 0.321
0.000 0.500 0.679
0.500 0.000 0.321
0.500 0.000 0.679
0.500 0.500 0.000
```

Properties
E_form ... -680 kJ/mol of formula units
DFT total energy ... -7.686 eV per atom
Symmetry ... P4/mmm, No. 123

[3]
First-principles (PBE-GGA) data for a relaxed structure of Dy2HfScP4, as listed in Alexandria via LeMat-Bulk.

The structure in POSCAR format:
```
Dy2HfScP4
1.0
6.673 0.000 0.000
0.000 3.854 0.000
-2.212 0.000 6.316
Dy Hf Sc P
2 1 1 4
direct
0.000 0.000 0.000
0.500 0.500 0.000
0.000 0.500 0.500
0.500 0.000 0.500
0.242 0.000 0.732
0.253 0.500 0.267
0.747 0.500 0.733
0.758 0.000 0.268
```

Properties
E_form ... -1170 kJ/mol of formula units
DFT total energy ... -7.407 eV per atom
Symmetry ... P2/m, No. 10

[4]
First-principles (PBE-GGA) data for a relaxed structure of DyHf2ScP4, as listed in Alexandria via LeMat-Bulk.

The structure in POSCAR format:
```
DyHf2ScP4
1.0
6.531 0.000 0.000
0.000 3.771 0.000
-2.186 0.000 6.234
Dy Hf Sc P
1 2 1 4
direct
0.000 0.000 0.000
0.000 0.500 0.500
0.500 0.000 0.500
0.500 0.500 0.000
0.253 0.000 0.742
0.260 0.500 0.263
0.740 0.500 0.737
0.747 0.000 0.258
```

Properties
E_form ... -1092 kJ/mol of formula units
DFT total energy ... -7.975 eV per atom
Symmetry ... P2/m, No. 10

[5]
First-principles (PBE-GGA) data for a relaxed structure of Sm2DyHfP4, as listed in Alexandria via LeMat-Bulk.

The structure in POSCAR format:
```
Sm2DyHfP4
1.0
6.869 0.000 0.000
0.000 3.961 0.000
-2.265 0.000 6.498
Sm Dy Hf P
2 1 1 4
direct
0.000 0.000 0.000
0.500 0.500 0.000
0.000 0.500 0.500
0.500 0.000 0.500
0.256 0.000 0.736
0.266 0.500 0.270
0.734 0.500 0.730
0.744 0.000 0.264
```

Properties
E_form ... -1164 kJ/mol of formula units
DFT total energy ... -7.213 eV per atom
Symmetry ... P2/m, No. 10

[6]
First-principles (PBE-GGA) data for a relaxed structure of Tb2DyHfP4, as listed in Alexandria via LeMat-Bulk.

The structure in POSCAR format:
```
Tb2DyHfP4
1.0
6.804 0.000 0.000
0.000 3.923 0.000
-2.243 0.000 6.426
Tb Dy Hf P
2 1 1 4
direct
0.000 0.000 0.000
0.500 0.500 0.000
0.000 0.500 0.500
0.500 0.000 0.500
0.257 0.000 0.741
0.264 0.500 0.265
0.736 0.500 0.735
0.743 0.000 0.259
```

Properties
E_form ... -1183 kJ/mol of formula units
DFT total energy ... -7.215 eV per atom
Symmetry ... P2/m, No. 10